## HRhI2O (GGA-PBE)

Data for a relaxed structure of HRhI2O.

Lattice parameters (Å, degrees): 5.2865 5.2865 2.9093 90.00 90.00 90.00
With the nearest neighbours (Å) after each atom.
Space group P4/mmm (No. 123)
Asymmetric unit:
H  0.0000  0.0000  0.0000  2 O 1.45
Rh  0.5000  0.5000  0.5000  2 Rh 2.91, 8 I 3.02
I  0.0000  0.5000  0.0000  2 H 2.64, 2 I 2.91
O  0.0000  0.0000  0.5000  2 H 1.45

Output
**DOS(E_F)**: 3.679 states/eV per cell
**Magnetic moment**: 0.0 μB/f.u.
**E above lowest polymorph**: 121.0 kJ/mol of formula units

## NaAc2Cu (GGA-PBE)

Data for a relaxed structure of NaAc2Cu.

Lattice parameters (Å, degrees): 3.9488 3.9488 35.1706 90.00 90.00 120.00
With the nearest neighbours (Å) after each atom.
Space group R-3m (No. 166, hexagonal axes)
Asymmetric unit:
Na  0.0000  0.0000  0.0000  2 Ac 3.81, 6 Na 3.95
Ac  0.0000  0.0000  0.1084  3 Cu 3.07
Cu  0.0000  0.0000  0.5000  6 Ac 3.07

Output
**DOS(E_F)**: 12.171 states/eV per cell
**DFT formation energy**: 173.9 meV per atom
**Magnetic moment**: 0.0 μB/f.u.
**E above lowest polymorph**: 49.1 kJ/mol of formula units